Material: LiTmNi2O4
Method: DFT, PBE+U
State: optimized geometry

Lattice parameters (Å, degrees): 3.1714 5.2572 5.2377 108.64 90.00 90.00
Last column: nearest neighbours and their distance in Å.
Sites, in units of the cell vectors:
Li: 0.0000 0.0000 0.0000  6 O 2.13-2.27
Tm: 0.5000 0.5000 0.0000  6 O 2.20-2.23
Ni: 0.5000 0.0000 0.5000  6 O 2.07-2.18
Ni: 0.0000 0.5000 0.5000  6 O 2.14-2.15
O: 0.5000 0.2565 0.2719  3 Ni 2.07-2.15, 1 Tm 2.20, 2 Li 2.27
O: 0.5000 0.7435 0.7281  3 Ni 2.07-2.15, 1 Tm 2.20, 2 Li 2.27
O: 0.0000 0.2441 0.7454  1 Li 2.13, 3 Ni 2.14-2.18, 2 Tm 2.23
O: 0.0000 0.7559 0.2546  1 Li 2.13, 3 Ni 2.14-2.18, 2 Tm 2.23

Properties
For the calculated total energy, the calculation gives -5.92 eV per atom. As for the density of states at the Fermi level: 0.0 states/eV per cell.